# 1
Material: Ir3Se
Method: DFT, PBE
State: relaxed

Unit cell a=2.788 b=2.788 c=9.427 alpha=90.00 beta=90.00 gamma=121.45
Positions (direct):
Ir 0.000 0.000 0.994
Ir 0.500 0.500 0.750
Ir 0.000 0.000 0.506
Se 0.500 0.500 0.250

E_form (uncorrected) = 0.52 eV per atom
Symmetry = No. 65
Final energy = -6.9936 eV/atom
Energy above the most stable polymorph in this dataset = 234.8 meV per atom
Crystal system = orthorhombic

---

# 2
Material: CsNaPO3
Method: DFT, PBE
State: relaxed

Unit cell a=6.233 b=6.233 c=7.119 alpha=90.00 beta=90.00 gamma=120.00
Site moments in Bohr magnetons follow the coordinates.
Positions (direct):
Cs 0.667 0.333 0.250  0.02
Cs 0.333 0.667 0.750  0.02
Na 0.000 0.000 0.500  0.01
Na 0.000 0.000 0.000  0.01
P 0.333 0.667 0.250  0.06
P 0.667 0.333 0.750  0.06
O 0.810 0.190 0.750  0.04
O 0.190 0.380 0.250  0.04
O 0.380 0.190 0.750  0.04
O 0.620 0.810 0.250  0.04
O 0.810 0.620 0.750  0.04
O 0.190 0.810 0.250  0.04

E_form (uncorrected) = -1.71 eV per atom
Symmetry = No. 194
Final energy = -5.4528 eV/atom
Crystal system = hexagonal

---

# 3
Material: HfNbN
Method: DFT, PBE
State: relaxed

Unit cell a=3.443 b=3.443 c=8.003 alpha=90.00 beta=90.00 gamma=89.61
Positions (direct):
N 0.787 0.287 0.879
N 0.287 0.787 0.121
Hf 0.821 0.321 0.142
Hf 0.321 0.821 0.858
Nb 0.902 0.902 0.500
Nb 0.402 0.402 0.500

E_form (uncorrected) = -0.20 eV per atom
Symmetry = No. 39
Final energy = -9.6542 eV/atom
Energy above the most stable polymorph in this dataset = 919.7 meV per atom
Crystal system = orthorhombic

---

# 4
Material: Al3ZnAg6
Method: DFT, PBE
State: relaxed

Unit cell a=2.931 b=10.415 c=12.946 alpha=120.04 beta=90.00 gamma=90.00
Positions (direct):
Al 0.750 0.386 0.894
Al 0.250 0.614 0.106
Al 0.750 0.619 0.500
Al 0.250 0.381 0.500
Al 0.750 0.122 0.094
Al 0.250 0.878 0.906
Zn 0.750 0.111 0.690
Zn 0.250 0.889 0.310
Ag 0.750 0.592 0.699
Ag 0.250 0.408 0.301
Ag 0.750 0.853 0.101
Ag 0.250 0.147 0.899
Ag 0.750 0.380 0.096
Ag 0.250 0.620 0.904
Ag 0.750 0.662 0.306
Ag 0.250 0.338 0.694
Ag 0.750 0.126 0.480
Ag 0.250 0.874 0.520
Ag 0.750 0.877 0.723
Ag 0.250 0.123 0.277

Calculated formation energy = -0.028 eV/atom
Symmetry = No. 11
Final energy = -2.9889 eV/atom
Energy above the most stable polymorph in this dataset = 13.6 meV per atom
Crystal system = monoclinic

---

# 5
Material: CrInAs2
Method: DFT, PBE
State: relaxed

Unit cell a=3.071 b=3.072 c=7.832 alpha=90.00 beta=90.00 gamma=90.00
Site moments in Bohr magnetons follow the coordinates.
Positions (direct):
As 0.000 0.000 0.071  -0.02
As 0.000 0.000 0.429  -0.02
Cr 0.500 0.500 0.250  0.67
In 0.500 0.500 0.750  0.00

Calculated formation energy = 0.045 eV/atom
Symmetry = No. 123
Final energy = -5.3706 eV/atom
Crystal system = tetragonal

---

# 6
Material: ZrPb2Br
Method: DFT, PBE
State: relaxed

Unit cell a=5.356 b=5.356 c=5.356 alpha=60.00 beta=60.00 gamma=60.00
Site moments in Bohr magnetons follow the coordinates.
Positions (direct):
Pb 0.000 0.000 0.000  0.02
Pb 0.250 0.250 0.250  -0.01
Br 0.500 0.500 0.500  0.00
Zr 0.750 0.750 0.750  0.81

E_form (uncorrected) = 0.12 eV per atom
Symmetry = No. 216
Final energy = -4.2852 eV/atom
Energy above the most stable polymorph in this dataset = 466.5 meV per atom
Crystal system = cubic

---

# 7
Material: La3Cu2
Method: DFT, PBE
State: relaxed

Unit cell a=5.130 b=5.130 c=6.205 alpha=90.00 beta=90.00 gamma=120.00
Site moments in Bohr magnetons follow the coordinates.
Positions (direct):
La 0.000 0.000 0.000  0.10
La 0.667 0.333 0.666  0.12
La 0.333 0.667 0.334  0.12
Cu 0.667 0.333 0.162  0.02
Cu 0.333 0.667 0.838  0.02

Calculated formation energy = -0.001 eV/atom
Symmetry = No. 164
Final energy = -4.5958 eV/atom
Energy above the most stable polymorph in this dataset = 105.9 meV per atom
Crystal system = trigonal

---

# 8
Material: Tb4CuAu
Method: DFT, PBE
State: relaxed

Unit cell a=6.905 b=7.193 c=6.924 alpha=90.00 beta=93.70 gamma=90.00
Positions (direct):
Tb 0.871 0.656 0.161
Tb 0.629 0.156 0.839
Tb 0.329 0.339 0.345
Tb 0.171 0.839 0.655
Tb 0.129 0.344 0.839
Tb 0.371 0.844 0.161
Tb 0.671 0.661 0.655
Tb 0.829 0.161 0.345
Cu 0.500 0.000 0.500
Cu 0.000 0.500 0.500
Au 0.000 0.000 0.000
Au 0.500 0.500 0.000

Calculated formation energy = -0.196 eV/atom
Symmetry = No. 14
Final energy = -4.5117 eV/atom
Crystal system = monoclinic